A geometry-optimized CoRu3F structure. Source: the Alexandria database, functional GGA+U.

Cell and atoms, written as CIF:
```
data_CoRu3F
_symmetry_space_group_name_H-M 'P 1'
_symmetry_Int_Tables_number 1
_symmetry_space_group_name_Hall 'P 1'
_cell_length_a 4.5011
_cell_length_b 4.5011
_cell_length_c 4.5011
_cell_angle_alpha 90.00
_cell_angle_beta 90.00
_cell_angle_gamma 90.00
loop_
_atom_site_label
_atom_site_fract_x
_atom_site_fract_y
_atom_site_fract_z
Co1 0.0000 0.0000 0.0000
Ru1 0.0000 0.0000 0.5000
Ru2 0.0000 0.5000 0.0000
Ru3 0.5000 0.0000 0.0000
F1 0.5000 0.5000 0.5000
```

Properties
VASP energy	-5.3702	eV per atom
M_tot	8.14	μB per formula unit
symmetry	Pm-3m, No. 221